A relaxed Be2CrW2 crystal. Source: Alexandria via LeMat-Bulk, functional PBEsol.

Values from the calculation:
E (eV/atom): -9.28
DOS(E_F) (states/eV/atom): 0.323
ΔH_f (0 K) (meV/atom): -111
Mass density (Mg/m³): 12.840

a = 5.9714 Å, b = 5.9714 Å, c = 3.1750 Å
α = 90.00°, β = 90.00°, γ = 90.00°
Element x y z (fractional)
Be 0.1200 0.3800 0.0000
Be 0.3800 0.8800 0.0000
Be 0.6200 0.1200 0.0000
Be 0.8800 0.6200 0.0000
Cr 0.0000 0.0000 0.0000
Cr 0.5000 0.5000 0.0000
W 0.1777 0.6777 0.5000
W 0.3223 0.1777 0.5000
W 0.6777 0.8223 0.5000
W 0.8223 0.3223 0.5000


A relaxed Cs2MoSe4 crystal. Source: Alexandria via LeMat-Bulk, functional PBEsol.

Values from the calculation:
E (eV/atom): -4.98
Formation energy (no corrections) (kJ/mol of formula units): -562
Mass density (Mg/m³): 4.585

a = 10.3920 Å, b = 7.3370 Å, c = 12.8755 Å
α = 90.00°, β = 90.00°, γ = 90.00°
Element x y z (fractional)
Cs 0.0409 0.2500 0.1604
Cs 0.1545 0.7500 0.3983
Cs 0.3455 0.2500 0.8983
Cs 0.4591 0.7500 0.6604
Cs 0.5409 0.2500 0.3396
Cs 0.6545 0.7500 0.1017
Cs 0.8455 0.2500 0.6017
Cs 0.9591 0.7500 0.8396
Mo 0.2488 0.7500 0.0813
Mo 0.2512 0.2500 0.5813
Mo 0.7488 0.7500 0.4187
Mo 0.7512 0.2500 0.9187
Se 0.0293 0.7500 0.1149
Se 0.1579 0.5041 0.6550
Se 0.1579 0.9959 0.6550
Se 0.2120 0.2500 0.4047
Se 0.2880 0.7500 0.9047
Se 0.3421 0.0041 0.1550
Se 0.3421 0.4959 0.1550
Se 0.4707 0.2500 0.6149
Se 0.5293 0.7500 0.3851
Se 0.6579 0.5041 0.8450
Se 0.6579 0.9959 0.8450
Se 0.7120 0.2500 0.0953
Se 0.7880 0.7500 0.5953
Se 0.8421 0.0041 0.3450
Se 0.8421 0.4959 0.3450
Se 0.9707 0.2500 0.8851


A relaxed Tl2SbIr crystal. Source: Alexandria via LeMat-Bulk, functional PBEsol.

Values from the calculation:
E (eV/atom): -4.79
DOS(E_F) (states/eV/atom): 0.560
Formation energy (no corrections) (kJ/mol of formula units): 45
Mass density (Mg/m³): 12.954
ΔE to the lowest computed polymorph (meV per atom): 0

a = 3.1330 Å, b = 3.4582 Å, c = 8.5512 Å
α = 90.00°, β = 90.00°, γ = 90.00°
Element x y z (fractional)
Tl 0.0000 0.0000 0.0000
Tl 0.5000 0.5000 0.2948
Sb 0.5000 0.5000 0.6861
Ir 0.0000 0.0000 0.5262